<P>
First-principles (GGA-PBE) data for a relaxed Nd3Ga4 crystal, as listed in the Open Quantum Materials Database.

abc: 4.2179 4.3947 18.8184
angles: 90.00 90.00 90.00
Last column: nearest neighbours and their distance in Å.
Space group Immm (No. 71)
Asymmetric unit:
Nd  0.0000  0.0000  0.0000 x2  12 Ga 3.29-3.46
Nd  0.0000  0.5000  0.3160 x4  7 Ga 3.13-3.27
Ga  0.0000  0.0000  0.4343 x4  3 Ga 2.47-2.55
Ga  0.0000  0.5000  0.1420 x4  2 Ga 2.55

=====

<Q>
First-principles (GGA-PBE) data for a relaxed Nd3Ga4 crystal, as listed in the Open Quantum Materials Database.

abc: 13.7420 13.7420 6.2505
angles: 90.00 90.00 120.00
Last column: nearest neighbours and their distance in Å.
Space group R-3 (No. 148, hexagonal axes)
Asymmetric unit:
Nd  0.0451  0.2104  0.2383 x18  8 Ga 3.03-3.38
Ga  0.0000  0.0000  0.0000 x3  6 Nd 3.03, 2 Ga 3.13
Ga  0.0000  0.0000  0.5000 x3  6 Nd 3.10, 2 Ga 3.13
Ga  0.0582  0.2679  0.7156 x18  3 Ga 2.99-3.29, 5 Nd 3.06-3.34

=====

It is <P> that is the most stable of them.

=====

<P>
First-principles (GGA-PBE) data for a relaxed PrNdGaNi2 crystal, as listed in the Open Quantum Materials Database.

abc: 4.2969 5.4876 8.5626
angles: 90.00 90.00 90.00
Last column: nearest neighbours and their distance in Å.
Space group Imm2 (No. 44)
Asymmetric unit:
Pr  0.0000  0.0000  0.0000 x2  6 Ni 2.93-3.05, 2 Ga 3.25
Nd  0.0000  0.0000  0.4055 x2  6 Ni 2.94-3.04, 2 Ga 3.25
Ga  0.0000  0.5000  0.2028 x2  4 Ni 2.60
Ni  0.0000  0.2666  0.7029 x4  1 Ni 2.56, 2 Ga 2.60

=====

<Q>
First-principles (GGA-PBE) data for a relaxed PrNdGaNi2 crystal, as listed in the Open Quantum Materials Database.

abc: 3.8223 3.9628 13.8346
angles: 90.00 90.00 90.00
Last column: nearest neighbours and their distance in Å.
Space group Amm2 (No. 38)
Asymmetric unit:
Pr  0.0000  0.0000  0.0000 x2  6 Ni 2.92-3.07
Nd  0.0000  0.0000  0.2589 x2  6 Ni 2.91-3.05
Ga  0.5000  0.0000  0.6305 x2  2 Ni 2.71-2.77
Ni  0.5000  0.0000  0.4303 x2  2 Ni 2.45
Ni  0.5000  0.0000  0.8262 x2  2 Ni 2.45, 1 Ga 2.71

=====

It is <P> that is the most stable of them.